Entry 1:
DFT (PBE) results for a relaxed structure of ZnHgSe3.

Calculated values
* polymorph energy (0 for the lowest one): 0.000 eV per formula unit
* energy relative to the elements, uncorrected: 0.414 eV per atom

```
data_ZnHgSe3
_chemical_formula_sum 'Zn1 Hg1 Se3'
_cell_length_a 4.981
_cell_length_b 4.981
_cell_length_c 4.981
_cell_angle_alpha 90.00
_cell_angle_beta 90.00
_cell_angle_gamma 90.00
_symmetry_space_group_name_H-M 'P m -3 m'
_symmetry_Int_Tables_number 221
_symmetry_space_group_name_Hall '-P 4 2 3'
loop_
_atom_site_label
_atom_site_type_symbol
_atom_site_fract_x
_atom_site_fract_y
_atom_site_fract_z
Zn1 Zn 0.000 0.000 0.000
Hg1 Hg 0.500 0.500 0.500
Se1 Se 0.000 0.000 0.500
```

=====

Entry 2:
DFT (PBE) results for a relaxed structure of Ac2HPb.

Calculated values
* polymorph energy (0 for the lowest one): 1.457 eV per formula unit

```
data_Ac2HPb
_chemical_formula_sum 'Ac6 H3 Pb3'
_cell_length_a 4.9367
_cell_length_b 4.9367
_cell_length_c 24.5720
_cell_angle_alpha 90.00
_cell_angle_beta 90.00
_cell_angle_gamma 120.00
_symmetry_space_group_name_H-M 'R -3 m'
_symmetry_Int_Tables_number 166
_symmetry_space_group_name_Hall '-R 3 2"'
loop_
_atom_site_label
_atom_site_type_symbol
_atom_site_fract_x
_atom_site_fract_y
_atom_site_fract_z
Ac1 Ac 0.0000 0.0000 0.0940
H1 H 0.0000 0.0000 0.0000
Pb1 Pb 0.0000 0.0000 0.5000
```

=====

Entry 3:
DFT (PBE) results for a relaxed structure of AcErPt2O8.

Calculated values
* energy relative to the elements, uncorrected: -1.206 eV per atom

```
data_AcErPt2O8
_chemical_formula_sum 'Ac1 Er1 Pt2 O8'
_cell_length_a 5.9704
_cell_length_b 5.9704
_cell_length_c 7.3603
_cell_angle_alpha 90.00
_cell_angle_beta 90.00
_cell_angle_gamma 120.00
_symmetry_space_group_name_H-M 'P -3 m 1'
_symmetry_Int_Tables_number 164
_symmetry_space_group_name_Hall '-P 3 2"'
loop_
_atom_site_label
_atom_site_type_symbol
_atom_site_fract_x
_atom_site_fract_y
_atom_site_fract_z
Ac1 Ac 0.0000 0.0000 0.0000
Er1 Er 0.0000 0.0000 0.5000
Pt1 Pt 0.3333 0.6667 0.2418
O1 O 0.1498 0.2996 0.2840
O2 O 0.3333 0.6667 0.9851
```